A plane-wave DFT calculation with GGA-PBE was carried out for a relaxed B5C3 crystal.

## Properties
- space-group type = P-43m
- formation energy from the elements (eV per atom) = 0.41
- M_tot (μB/atom) = 0.000
- total DFT energy (no corrections) (eV/atom) = -7.223

a b c (Å): 3.8501 3.8501 3.8501
angles (deg): 90.00 90.00 90.00
Fractional positions:
C1 0.7500 0.7500 0.7500
C2 0.7500 0.2500 0.2500
C3 0.2500 0.2500 0.7500
B1 0.2500 0.7500 0.2500
B2 0.9654 0.4654 0.5346
B3 0.5346 0.4654 0.9654
B4 0.5346 0.0346 0.5346
B5 0.9654 0.0346 0.9654